DFT (PBE-GGA) results for an optimized crystal structure of PmAsPbO.

Output
total energy	-5.94	eV per atom
total magnetization	0.05	μB/cell

Structure (POSCAR):
```
PmAsPbO
1.0
-0.405 -4.058 1.544
3.526 -1.213 -2.261
5.606 2.298 7.510
As O Pb Pm
2 2 2 2
Cartesian
3.286 0.018 0.910 As
3.880 -0.355 6.242 As
0.000 0.000 0.000 O
1.561 -2.636 -0.358 O
2.803 1.149 3.755 Pb
4.364 -1.486 3.397 Pb
0.364 -1.797 1.532 Pm
6.802 1.459 5.620 Pm
```